A relaxed Ba2TlPtPb6 crystal. Source: Alexandria via LeMat-Bulk, functional PBE-GGA.

abc: 7.4102 7.4102 15.8308
angles: 76.46 76.46 60.00
Sites, in units of the cell vectors:
Pb 0.7837 0.7837 0.0949
Pb 0.6623 0.2163 0.9051
Pb 0.6571 0.6571 0.5954
Pb 0.6571 0.0903 0.5954
Pb 0.2163 0.6623 0.9051
Pb 0.7837 0.3377 0.0949
Pb 0.3429 0.9097 0.4046
Pb 0.2163 0.2163 0.9051
Pb 0.3377 0.7837 0.0949
Pb 0.0903 0.6571 0.5954
Pb 0.3429 0.3429 0.4046
Pb 0.9097 0.3429 0.4046
Tl 0.4239 0.4239 0.7283
Tl 0.5761 0.5761 0.2717
Pt 0.0000 0.0000 0.0000
Pt 0.5000 0.5000 0.5000
Ba 0.1196 0.1196 0.6413
Ba 0.8804 0.8804 0.3587
Ba 0.2806 0.2806 0.1581
Ba 0.7194 0.7194 0.8419

Properties
Total DFT energy (no corrections): -0.26936 Ry/atom
Total magnetization: 0.00 μB per atom
ΔE_f: -0.21 eV per atom
Density of states at the Fermi level: 0.546 states/eV/atom
Space group: R-3m, No. 166


A relaxed Ba2TlPt3Pb4 crystal. Source: Alexandria via LeMat-Bulk, functional PBE-GGA.

abc: 5.0023 5.0023 11.3814
angles: 90.00 90.00 90.00
Sites, in units of the cell vectors:
Pt 0.5000 0.0000 0.8829
Pt 0.0000 0.5000 0.1171
Pt 0.0000 0.0000 0.5000
Pb 0.5000 0.0000 0.6423
Pb 0.5000 0.5000 0.0000
Pb 0.0000 0.5000 0.3577
Pb 0.0000 0.0000 0.0000
Ba 0.5000 0.0000 0.2531
Ba 0.0000 0.5000 0.7469
Tl 0.5000 0.5000 0.5000

Properties
Total DFT energy (no corrections): -0.32005 Ry/atom
Total magnetization: 0.00 μB per atom
ΔE_f: -0.44 eV per atom
Density of states at the Fermi level: 0.494 states/eV/atom
Space group: P-4m2, No. 115


A relaxed BaTl2PtPb crystal. Source: Alexandria via LeMat-Bulk, functional PBE-GGA.

abc: 5.3645 5.3645 6.0056
angles: 90.00 90.00 90.00
Sites, in units of the cell vectors:
Pb 0.5000 0.5000 0.5000
Tl 0.0000 0.5000 0.0000
Tl 0.5000 0.0000 0.0000
Ba 0.0000 0.0000 0.5000
Pt 0.0000 0.0000 0.0000

Properties
Total DFT energy (no corrections): -0.25644 Ry/atom
Total magnetization: 0.00 μB per atom
ΔE_f: -0.21 eV per atom
Density of states at the Fermi level: 0.867 states/eV/atom
Space group: P4/mmm, No. 123


A relaxed Ba2Tl3Pt4Pb crystal. Source: Alexandria via LeMat-Bulk, functional PBE-GGA.

abc: 4.9828 4.9828 10.7388
angles: 90.00 90.00 90.00
Sites, in units of the cell vectors:
Pt 0.0000 0.5000 0.3756
Pt 0.5000 0.5000 0.0000
Pt 0.5000 0.0000 0.6244
Pt 0.0000 0.0000 0.0000
Tl 0.5000 0.0000 0.8805
Tl 0.0000 0.0000 0.5000
Tl 0.0000 0.5000 0.1195
Pb 0.5000 0.5000 0.5000
Ba 0.5000 0.0000 0.2304
Ba 0.0000 0.5000 0.7696

Properties
Total DFT energy (no corrections): -0.31779 Ry/atom
Total magnetization: 0.00 μB per atom
ΔE_f: -0.44 eV per atom
Density of states at the Fermi level: 0.392 states/eV/atom
Space group: P-4m2, No. 115


A relaxed Ba2Tl6PtPb crystal. Source: Alexandria via LeMat-Bulk, functional PBE-GGA.

abc: 7.6847 7.6847 14.1345
angles: 74.23 74.23 60.00
Sites, in units of the cell vectors:
Ba 0.2790 0.2790 0.1630
Ba 0.8962 0.8962 0.3116
Ba 0.1038 0.1038 0.6884
Ba 0.7210 0.7210 0.8370
Tl 0.7818 0.7818 0.0874
Tl 0.6658 0.6658 0.5878
Tl 0.2182 0.2182 0.9126
Tl 0.9195 0.3342 0.4122
Tl 0.3342 0.3342 0.4122
Tl 0.3491 0.7818 0.0874
Tl 0.6509 0.2182 0.9126
Tl 0.0805 0.6658 0.5878
Tl 0.2182 0.6509 0.9126
Tl 0.7818 0.3491 0.0874
Tl 0.6658 0.0805 0.5878
Tl 0.3342 0.9195 0.4122
Pt 0.0000 0.0000 0.0000
Pt 0.5000 0.5000 0.5000
Pb 0.5737 0.5737 0.2789
Pb 0.4263 0.4263 0.7211

Properties
Total DFT energy (no corrections): -0.21733 Ry/atom
Total magnetization: 0.00 μB per atom
ΔE_f: -0.18 eV per atom
Density of states at the Fermi level: 0.657 states/eV/atom
Space group: R-3m, No. 166


A relaxed BaVPtPb2 crystal. Source: Alexandria via LeMat-Bulk, functional PBE-GGA.

abc: 5.2324 5.8018 5.2324
angles: 90.00 90.00 90.00
Each line ends with the local moment (μB).
Sites, in units of the cell vectors:
V 0.0000 0.0000 0.0000  2.12
Ba 0.0000 0.5000 0.0000  0.13
Pb 0.0000 0.0000 0.5000  -0.02
Pb 0.5000 0.0000 0.0000  -0.05
Pt 0.5000 0.5000 0.5000  0.26

Properties
Total DFT energy (no corrections): -0.31979 Ry/atom
Total magnetization: 0.56 μB per atom
ΔE_f: 0.55 eV per atom
Density of states at the Fermi level: 0.503 states/eV/atom
Space group: P4/mmm, No. 123


A relaxed Ba2PtPbW crystal. Source: Alexandria via LeMat-Bulk, functional PBE-GGA.

abc: 6.2201 4.9086 6.2201
angles: 90.00 90.00 90.00
Each line ends with the local moment (μB).
Sites, in units of the cell vectors:
Pb 0.5000 0.5000 0.5000  -0.15
Ba 0.0000 0.0000 0.5000  0.00
Ba 0.5000 0.0000 0.0000  0.00
Pt 0.0000 0.0000 0.0000  0.02
W 0.0000 0.5000 0.0000  1.74

Properties
Total DFT energy (no corrections): -0.36107 Ry/atom
Total magnetization: 0.41 μB per atom
ΔE_f: 0.40 eV per atom
Density of states at the Fermi level: 0.908 states/eV/atom
Space group: P4/mmm, No. 123


A relaxed Ba3Zn2Pt4Pb2 crystal. Source: Alexandria via LeMat-Bulk, functional PBE-GGA.

abc: 4.6348 4.6348 16.5499
angles: 90.00 90.00 120.00
Sites, in units of the cell vectors:
Ba 0.0000 0.0000 0.0000
Ba 0.0000 0.0000 0.7325
Ba 0.0000 0.0000 0.2675
Zn 0.6667 0.3333 0.8669
Zn 0.3333 0.6667 0.1331
Pt 0.3333 0.6667 0.3939
Pt 0.3333 0.6667 0.8680
Pt 0.6667 0.3333 0.6061
Pt 0.6667 0.3333 0.1320
Pb 0.3333 0.6667 0.5682
Pb 0.6667 0.3333 0.4318

Properties
Total DFT energy (no corrections): -0.30616 Ry/atom
Total magnetization: 0.00 μB per atom
ΔE_f: -0.54 eV per atom
Density of states at the Fermi level: 0.517 states/eV/atom
Space group: P-3m1, No. 164


A relaxed Ba2Zn3Pt4Pb crystal. Source: Alexandria via LeMat-Bulk, functional PBE-GGA.

abc: 4.5427 4.5427 10.9632
angles: 90.00 90.00 90.00
Sites, in units of the cell vectors:
Pt 0.0000 0.0000 0.0000
Pt 0.5000 0.0000 0.6438
Pt 0.5000 0.5000 0.0000
Pt 0.0000 0.5000 0.3562
Zn 0.5000 0.0000 0.8819
Zn 0.0000 0.5000 0.1181
Zn 0.0000 0.0000 0.5000
Ba 0.5000 0.0000 0.2327
Ba 0.0000 0.5000 0.7673
Pb 0.5000 0.5000 0.5000

Properties
Total DFT energy (no corrections): -0.30317 Ry/atom
Total magnetization: 0.00 μB per atom
ΔE_f: -0.57 eV per atom
Density of states at the Fermi level: 0.418 states/eV/atom
Space group: P-4m2, No. 115


A relaxed BaPuPb4 crystal. Source: Alexandria via LeMat-Bulk, functional PBE-GGA.

abc: 6.5931 6.5931 6.5931
angles: 60.00 60.00 60.00
Each line ends with the local moment (μB).
Sites, in units of the cell vectors:
Ba 0.0000 0.0000 0.0000  0.03
Pb 0.6242 0.6242 0.6242  -0.02
Pb 0.6242 0.1273 0.6242  -0.02
Pb 0.1273 0.6242 0.6242  -0.02
Pb 0.6242 0.6242 0.1273  -0.02
Pu 0.2500 0.2500 0.2500  5.73

Properties
Total DFT energy (no corrections): -0.39313 Ry/atom
Total magnetization: 1.00 μB per atom
ΔE_f: -0.17 eV per atom
Density of states at the Fermi level: 3.375 states/eV/atom
Space group: F-43m, No. 216


A relaxed BaPuPb crystal. Source: Alexandria via LeMat-Bulk, functional PBE-GGA.

abc: 3.5589 3.5589 14.6417
angles: 90.00 90.00 90.00
Sites, in units of the cell vectors:
Pb 0.0000 0.5000 0.3088
Pb 0.5000 0.0000 0.6912
Pu 0.5000 0.5000 0.5000
Pu 0.0000 0.0000 0.5000
Ba 0.5000 0.0000 0.1357
Ba 0.0000 0.5000 0.8643

Properties
Total DFT energy (no corrections): -0.47016 Ry/atom
Total magnetization: 0.00 μB per atom
ΔE_f: 0.26 eV per atom
Excess energy over the best structure of this formula in the dataset: 257 meV per atom
Density of states at the Fermi level: 1.613 states/eV/atom
Space group: P4/nmm, No. 129


A relaxed BaPuPb6 crystal. Source: Alexandria via LeMat-Bulk, functional PBE-GGA.

abc: 5.0086 5.0086 9.9608
angles: 90.00 90.00 90.00
Each line ends with the local moment (μB).
Sites, in units of the cell vectors:
Pb 0.5000 0.0000 0.7361  0.02
Pb 0.5000 0.5000 0.5000  0.00
Pb 0.5000 0.0000 0.2639  0.02
Pb 0.0000 0.5000 0.2639  0.02
Pb 0.0000 0.5000 0.7361  0.02
Pb 0.5000 0.5000 0.0000  0.00
Ba 0.0000 0.0000 0.0000  -0.01
Pu 0.0000 0.0000 0.5000  5.50

Properties
Total DFT energy (no corrections): -0.37270 Ry/atom
Total magnetization: 0.74 μB per atom
ΔE_f: -0.26 eV per atom
Density of states at the Fermi level: 1.727 states/eV/atom
Space group: P4/mmm, No. 123


A relaxed BaPuPb crystal. Source: Alexandria via LeMat-Bulk, functional PBE-GGA.

abc: 3.8618 5.6700 5.6700
angles: 120.00 90.00 90.00
Each line ends with the local moment (μB).
Sites, in units of the cell vectors:
Ba 0.6675 0.3333 0.6667  0.06
Pb 0.1011 0.0000 0.0000  -0.06
Pu 0.2314 0.6667 0.3333  5.69

Properties
Total DFT energy (no corrections): -0.48904 Ry/atom
Total magnetization: 2.05 μB per atom
ΔE_f: 0.00 eV per atom
Excess energy over the best structure of this formula in the dataset: 0 meV per atom
Density of states at the Fermi level: 3.951 states/eV/atom
Space group: P3m1, No. 156


A relaxed Ba2PuPbS5 crystal. Source: Alexandria via LeMat-Bulk, functional PBE-GGA.

abc: 4.2831 9.2101 13.8690
angles: 90.00 90.00 103.45
Each line ends with the local moment (μB).
Sites, in units of the cell vectors:
S 0.3034 0.6068 0.4022  -0.12
S 0.7316 0.4633 0.1523  -0.12
S 0.2684 0.5367 0.6523  -0.12
S 0.4918 0.9835 0.7620  -0.04
S 0.9225 0.8450 0.5729  -0.12
S 0.6966 0.3932 0.9022  -0.12
S 0.5082 0.0165 0.2620  -0.04
S 0.3687 0.7375 0.9916  -0.07
S 0.0775 0.1550 0.0729  -0.12
S 0.6313 0.2625 0.4916  -0.07
Pu 0.2212 0.4425 0.0251  4.67
Pu 0.7788 0.5575 0.5251  4.67
Ba 0.0925 0.1850 0.6643  0.00
Ba 0.8624 0.7249 0.8009  0.00
Ba 0.1376 0.2751 0.3009  0.00
Ba 0.9075 0.8150 0.1643  0.00
Pb 0.5410 0.0821 0.9527  -0.02
Pb 0.4590 0.9179 0.4527  -0.02

Properties
Total DFT energy (no corrections): -0.45556 Ry/atom
Total magnetization: 0.45 μB per atom
Density of states at the Fermi level: 1.167 states/eV/atom
ΔE_f (raw): -13.261 eV/f.u.
Space group: Cmc2_1, No. 36


A relaxed Ba2PuPbSe5 crystal. Source: Alexandria via LeMat-Bulk, functional PBE-GGA.

abc: 4.4531 9.5947 13.8448
angles: 90.00 90.00 103.42
Each line ends with the local moment (μB).
Sites, in units of the cell vectors:
Ba 0.8616 0.7233 0.8061  0.00
Ba 0.1067 0.2133 0.6817  0.00
Ba 0.1384 0.2767 0.3061  0.00
Ba 0.8933 0.7867 0.1817  0.00
Se 0.7194 0.4388 0.1508  -0.12
Se 0.2806 0.5612 0.6508  -0.12
Se 0.9348 0.8695 0.5775  -0.12
Se 0.5108 0.0216 0.2573  -0.05
Se 0.3637 0.7274 0.9975  -0.06
Se 0.6363 0.2726 0.4975  -0.06
Se 0.3141 0.6281 0.3812  -0.10
Se 0.6859 0.3719 0.8812  -0.10
Se 0.0652 0.1305 0.0775  -0.12
Se 0.4892 0.9784 0.7573  -0.05
Pu 0.2114 0.4227 0.0167  4.92
Pu 0.7886 0.5773 0.5167  4.92
Pb 0.4687 0.9373 0.4551  -0.02
Pb 0.5313 0.0627 0.9551  -0.02

Properties
Total DFT energy (no corrections): -0.42456 Ry/atom
Total magnetization: 0.48 μB per atom
Density of states at the Fermi level: 1.431 states/eV/atom
ΔE_f (raw): -12.679 eV/f.u.
Space group: Cmc2_1, No. 36


A relaxed RbBa2Pb crystal. Source: Alexandria via LeMat-Bulk, functional PBE-GGA.

abc: 4.3066 4.3066 15.3488
angles: 81.94 81.94 60.00
Sites, in units of the cell vectors:
Ba 0.9232 0.9232 0.2304
Ba 0.0768 0.0768 0.7696
Pb 0.0000 0.0000 0.0000
Rb 0.5000 0.5000 0.5000

Properties
Total DFT energy (no corrections): -0.14043 Ry/atom
Total magnetization: 0.00 μB per atom
ΔE_f: 0.22 eV per atom
Density of states at the Fermi level: 1.323 states/eV/atom
Space group: R-3m, No. 166


A relaxed RbBaPb2 crystal. Source: Alexandria via LeMat-Bulk, functional PBE-GGA.

abc: 9.9513 9.9513 7.8516
angles: 50.68 50.68 90.00
Sites, in units of the cell vectors:
Pb 0.1201 0.6250 0.2500
Pb 0.6299 0.1250 0.2500
Pb 0.3750 0.3701 0.7500
Pb 0.8750 0.8799 0.7500
Ba 0.0000 0.0000 0.0000
Ba 0.7500 0.2500 0.5000
Rb 0.5000 0.5000 0.0000
Rb 0.2500 0.7500 0.5000

Properties
Total DFT energy (no corrections): -0.18604 Ry/atom
Total magnetization: 0.00 μB per atom
ΔE_f: 0.05 eV per atom
Excess energy over the best structure of this formula in the dataset: 280 meV per atom
Density of states at the Fermi level: 1.384 states/eV/atom
Space group: I-42d, No. 122


A relaxed RbBa2Pb9 crystal. Source: Alexandria via LeMat-Bulk, functional PBE-GGA.

abc: 6.8629 6.8629 11.5285
angles: 72.68 72.68 60.00
Sites, in units of the cell vectors:
Pb 0.0761 0.5897 0.7446
Pb 0.4103 0.4103 0.2554
Pb 0.3368 0.3368 0.9897
Pb 0.4103 0.9239 0.2554
Pb 0.5897 0.0761 0.7446
Pb 0.5897 0.5897 0.7446
Pb 0.6632 0.6632 0.0103
Pb 0.9239 0.4103 0.2554
Pb 0.5000 0.5000 0.5000
Ba 0.8610 0.8610 0.4171
Ba 0.1390 0.1390 0.5829
Rb 0.0000 0.0000 0.0000

Properties
Total DFT energy (no corrections): -0.25374 Ry/atom
Total magnetization: 0.00 μB per atom
ΔE_f: -0.27 eV per atom
Density of states at the Fermi level: 0.301 states/eV/atom
Space group: R-3m, No. 166


A relaxed RbBa2Pb2 crystal. Source: Alexandria via LeMat-Bulk, functional PBE-GGA.

abc: 10.7469 10.7469 3.7825
angles: 90.00 90.00 90.00
Sites, in units of the cell vectors:
Ba 0.3741 0.8741 0.0000
Ba 0.1259 0.3741 0.0000
Ba 0.8741 0.6259 0.0000
Ba 0.6259 0.1259 0.0000
Rb 0.0000 0.0000 0.0000
Rb 0.5000 0.5000 0.0000
Pb 0.1716 0.6716 0.5000
Pb 0.6716 0.8284 0.5000
Pb 0.8284 0.3284 0.5000
Pb 0.3284 0.1716 0.5000

Properties
Total DFT energy (no corrections): -0.20603 Ry/atom
Total magnetization: 0.00 μB per atom
ΔE_f: -0.36 eV per atom
Excess energy over the best structure of this formula in the dataset: 12 meV per atom
Density of states at the Fermi level: 0.642 states/eV/atom
Space group: P4/mbm, No. 127


A relaxed RbBa2Pb crystal. Source: Alexandria via LeMat-Bulk, functional PBE-GGA.

abc: 4.4474 4.4474 11.5319
angles: 90.00 90.00 90.00
Sites, in units of the cell vectors:
Rb 0.5000 0.5000 0.5000
Pb 0.5000 0.5000 0.0000
Ba 0.0000 0.0000 0.8350
Ba 0.0000 0.0000 0.1650

Properties
Total DFT energy (no corrections): -0.17607 Ry/atom
Total magnetization: 0.00 μB per atom
ΔE_f: -0.27 eV per atom
Density of states at the Fermi level: 0.699 states/eV/atom
Space group: P4/mmm, No. 123


A relaxed Rb2BaPb crystal. Source: Alexandria via LeMat-Bulk, functional PBE-GGA.

abc: 4.1862 4.1862 15.7175
angles: 82.35 82.35 60.00
Each line ends with the local moment (μB).
Sites, in units of the cell vectors:
Ba 0.5000 0.5000 0.5000  0.10
Pb 0.0000 0.0000 0.0000  -0.01
Rb 0.9213 0.9213 0.2361  0.01
Rb 0.0787 0.0787 0.7639  0.01

Properties
Total DFT energy (no corrections): -0.11800 Ry/atom
Total magnetization: 0.14 μB per atom
ΔE_f: 0.29 eV per atom
Density of states at the Fermi level: 1.190 states/eV/atom
Space group: R-3m, No. 166


A relaxed RbBa2Pb2 crystal. Source: Alexandria via LeMat-Bulk, functional PBE-GGA.

abc: 6.2505 6.2505 8.1767
angles: 67.53 67.53 90.00
Sites, in units of the cell vectors:
Ba 0.3505 0.3505 0.2990
Ba 0.6495 0.6495 0.7010
Pb 0.2500 0.7500 0.5000
Pb 0.7500 0.2500 0.5000
Rb 0.0000 0.0000 0.0000

Properties
Total DFT energy (no corrections): -0.18795 Ry/atom
Total magnetization: 0.00 μB per atom
ΔE_f: -0.11 eV per atom
Excess energy over the best structure of this formula in the dataset: 258 meV per atom
Density of states at the Fermi level: 0.906 states/eV/atom
Space group: I4/mmm, No. 139


A relaxed RbBa2Pb crystal. Source: Alexandria via LeMat-Bulk, functional PBE-GGA.

abc: 5.5820 5.5820 10.2898
angles: 74.26 74.26 60.00
Sites, in units of the cell vectors:
Pb 0.6644 0.6644 0.0067
Rb 0.5034 0.5034 0.4897
Ba 0.2826 0.2826 0.1523
Ba 0.0496 0.0496 0.8512

Properties
Total DFT energy (no corrections): -0.17288 Ry/atom
Total magnetization: 0.00 μB per atom
ΔE_f: -0.22 eV per atom
Density of states at the Fermi level: 0.773 states/eV/atom
Space group: R3m, No. 160